1.
{"formula": "SrCaBe", "functional": "PBE", "state": "relaxed", "lattice": [[0.0000, 3.7437, 3.7437], [3.7437, 0.0000, 3.7437], [3.7437, 3.7437, 0.0000]], "species": ["Sr", "Ca", "Be"], "fractional_positions": [[0.0000, 0.0000, 0.0000], [0.7500, 0.7500, 0.7500], [0.2500, 0.2500, 0.2500]], "sg": "F-43m, No. 216", "formation_enthalpy_0k_ev_per_atom": 1.04}

=====

2.
{"formula": "UHg3Br6", "functional": "PBE", "state": "relaxed", "lattice": [[6.8155, 0.0000, 0.0000], [-3.4077, 5.9024, 0.0000], [0.0000, 0.0000, 9.8899]], "species": ["U", "Hg", "Hg", "Hg", "Br", "Br", "Br", "Br", "Br", "Br"], "fractional_positions": [[0.0000, 0.0000, 0.0000], [0.0000, 0.0000, 0.5000], [0.3333, 0.6667, 0.5000], [0.6667, 0.3333, 0.5000], [0.0000, 0.3142, 0.8432], [0.0000, 0.6858, 0.1568], [0.3142, 0.0000, 0.8432], [0.3142, 0.3142, 0.1568], [0.6858, 0.0000, 0.1568], [0.6858, 0.6858, 0.8432]], "sg": "P-31m, No. 162", "formation_energy_uncorrected_ev_per_atom": -0.742}

=====

3.
{"formula": "La3Cu3Ni", "functional": "PBE", "state": "relaxed", "lattice": [[5.3807, -2.0195, 0.0000], [5.3807, 2.0195, 0.0000], [-5.2521, 0.0000, 14.7850]], "species": ["La", "La", "La", "La", "La", "La", "Cu", "Cu", "Cu", "Cu", "Cu", "Cu", "Ni", "Ni"], "fractional_positions": [[0.0833, 0.0833, 0.4036], [0.1055, 0.1055, 0.9230], [0.2628, 0.2628, 0.2357], [0.7372, 0.7372, 0.7643], [0.8945, 0.8945, 0.0770], [0.9167, 0.9167, 0.5964], [0.3872, 0.3872, 0.4430], [0.3988, 0.3988, 0.9225], [0.4457, 0.4457, 0.7659], [0.5543, 0.5543, 0.2341], [0.6012, 0.6012, 0.0775], [0.6128, 0.6128, 0.5570], [0.2364, 0.2364, 0.6289], [0.7636, 0.7636, 0.3711]], "sg": "C2/m, No. 12", "formation_enthalpy_0k_ev_per_atom": -0.23}

=====

4.
{"formula": "ErBi2Rh", "functional": "PBE", "state": "relaxed", "lattice": [[-2.2977, 2.2977, 9.4714], [2.2977, -2.2977, 9.4714], [2.2977, 2.2977, -9.4714]], "species": ["Er", "Er", "Bi", "Bi", "Bi", "Bi", "Rh", "Rh"], "fractional_positions": [[0.1445, 0.1445, 0.0000], [0.8555, 0.8555, 0.0000], [0.0000, 0.5000, 0.5000], [0.3361, 0.3361, 0.0000], [0.5000, 0.0000, 0.5000], [0.6639, 0.6639, 0.0000], [0.2500, 0.7500, 0.5000], [0.7500, 0.2500, 0.5000]], "sg": "I4/mmm, No. 139", "formation_enthalpy_0k_ev_per_atom": -0.51}

=====

5.
{"formula": "SbH6Pd6", "functional": "PBE", "state": "relaxed", "lattice": [[4.7056, 0.0000, 0.0000], [-2.3528, 4.0752, 0.0000], [0.0000, 0.0000, 7.9618]], "species": ["Sb", "H", "H", "H", "H", "H", "H", "Pd", "Pd", "Pd", "Pd", "Pd", "Pd"], "fractional_positions": [[0.0000, 0.0000, 0.0000], [0.0000, 0.5000, 0.3527], [0.0000, 0.5000, 0.6473], [0.5000, 0.0000, 0.3527], [0.5000, 0.0000, 0.6473], [0.5000, 0.5000, 0.3527], [0.5000, 0.5000, 0.6473], [0.0000, 0.0000, 0.3293], [0.0000, 0.0000, 0.6707], [0.3333, 0.6667, 0.0000], [0.3333, 0.6667, 0.5000], [0.6667, 0.3333, 0.0000], [0.6667, 0.3333, 0.5000]], "sg": "P6/mmm, No. 191"}

=====

6.
{"formula": "FeIr2Cl", "functional": "PBE", "state": "relaxed", "lattice": [[2.7860, 0.0000, 0.0000], [0.0000, 2.7860, 0.0000], [0.0000, 0.0000, 8.9731]], "species": ["Fe", "Ir", "Ir", "Cl"], "fractional_positions": [[0.0000, 0.0000, 0.0000], [0.0000, 0.0000, 0.4107], [0.5000, 0.5000, 0.2122], [0.5000, 0.5000, 0.8299]], "sg": "P4mm, No. 99", "formation_energy_uncorrected_ev_per_atom": 0.348}

=====

no.,magnetization (Bohr magnetons per cell),E_tot (eV/cell)
1,0.86,-4.3
2,0.16,-29.7
3,0.00,-69.0
4,0.00,-43.5
5,0.00,-54.1
6,3.39,-26.6